# 1
Entry from Alexandria via LeMat-Bulk: crystalline ScCo2Pb2 at its relaxed geometry (PBE-GGA).

Calculated values
The symmetry is P4/mbm. The spin magnetization comes out at 3.6 μB per cell. The value obtained for the formation energy is 0.145 eV per atom.

Cell: 6.802 6.802 4.092 Å, 90.00 90.00 90.00°
Last column: magnetic moment on the atom in μB.
Sites, in units of the cell vectors:
Pb (0.678, 0.822, 0.500)  0.00
Pb (0.322, 0.178, 0.500)  0.00
Pb (0.822, 0.322, 0.500)  0.00
Pb (0.178, 0.678, 0.500)  0.00
Co (0.621, 0.121, 0.000)  1.00
Co (0.121, 0.379, 0.000)  0.99
Co (0.379, 0.879, 0.000)  1.00
Co (0.879, 0.621, 0.000)  1.00
Sc (0.500, 0.500, 0.000)  -0.14
Sc (0.000, 0.000, 0.000)  -0.14

***

# 2
Entry from Alexandria via LeMat-Bulk: crystalline ScCoPb4 at its relaxed geometry (PBE-GGA).

Calculated values
The symmetry is F-43m. The spin magnetization comes out at 2.0 μB per cell. The value obtained for the formation energy is 0.647 eV per atom.

Cell: 6.286 6.286 6.286 Å, 60.00 60.00 60.00°
Last column: magnetic moment on the atom in μB.
Sites, in units of the cell vectors:
Pb (0.376, 0.376, 0.376)  -0.01
Pb (0.873, 0.376, 0.376)  -0.01
Pb (0.376, 0.873, 0.376)  -0.01
Pb (0.376, 0.376, 0.873)  -0.01
Co (0.000, 0.000, 0.000)  2.04
Sc (0.750, 0.750, 0.750)  -0.03

***

# 3
Entry from Alexandria via LeMat-Bulk: crystalline ScCo2Pb at its relaxed geometry (PBE-GGA).

Calculated values
The symmetry is P4mm. The spin magnetization comes out at 2.5 μB per cell. The value obtained for the formation energy is 0.083 eV per atom.

Cell: 3.188 3.188 6.939 Å, 90.00 90.00 90.00°
Last column: magnetic moment on the atom in μB.
Sites, in units of the cell vectors:
Co (0.500, 0.500, 0.187)  1.46
Co (0.000, 0.000, 0.043)  1.33
Sc (0.500, 0.500, 0.816)  -0.20
Pb (0.000, 0.000, 0.455)  0.00

***

# 4
Entry from Alexandria via LeMat-Bulk: crystalline ScCoPb at its relaxed geometry (PBE-GGA).

Calculated values
The symmetry is P3m1. The spin magnetization comes out at 0.7 μB per cell. The value obtained for the formation energy is 0.132 eV per atom.

Cell: 3.369 3.369 6.280 Å, 90.00 90.00 120.00°
Last column: magnetic moment on the atom in μB.
Sites, in units of the cell vectors:
Pb (0.333, 0.667, 0.297)  -0.01
Sc (0.667, 0.333, 0.716)  -0.09
Co (0.000, 0.000, 0.987)  0.84

***

Question: Which value of spin magnetization does entry 4 give?
Answer: 0.7 μB per cell

***

Question: What is the formula in the second record?
Answer: ScCoPb4

***

Please write out number 1 again, unchanged.
Entry from Alexandria via LeMat-Bulk: crystalline ScCo2Pb2 at its relaxed geometry (PBE-GGA).

Calculated values
The symmetry is P4/mbm. The spin magnetization comes out at 3.6 μB per cell. The value obtained for the formation energy is 0.145 eV per atom.

Cell: 6.802 6.802 4.092 Å, 90.00 90.00 90.00°
Last column: magnetic moment on the atom in μB.
Sites, in units of the cell vectors:
Pb (0.678, 0.822, 0.500)  0.00
Pb (0.322, 0.178, 0.500)  0.00
Pb (0.822, 0.322, 0.500)  0.00
Pb (0.178, 0.678, 0.500)  0.00
Co (0.621, 0.121, 0.000)  1.00
Co (0.121, 0.379, 0.000)  0.99
Co (0.379, 0.879, 0.000)  1.00
Co (0.879, 0.621, 0.000)  1.00
Sc (0.500, 0.500, 0.000)  -0.14
Sc (0.000, 0.000, 0.000)  -0.14

***

Question: The lowest spin magnetization belongs to which entry?
Answer: ScCoPb